Record 1
Computed, not measured: crystalline CoAg3 at its relaxed geometry at the PBE level of DFT.

The structure in POSCAR format:
```
CoAg3
1.0
-2.220 -3.326 2.660
-0.343 -5.710 -7.425
5.138 -2.241 1.486
Co Ag
4 12
Direct
0.083 0.750 0.653 Co
0.917 0.250 0.347 Co
0.417 0.250 0.153 Co
0.583 0.750 0.847 Co
0.757 0.997 0.624 Ag
0.757 0.503 0.624 Ag
0.743 0.003 0.124 Ag
0.243 0.003 0.376 Ag
0.581 0.750 0.379 Ag
0.243 0.497 0.376 Ag
0.257 0.997 0.876 Ag
0.419 0.250 0.621 Ag
0.081 0.750 0.121 Ag
0.919 0.250 0.879 Ag
0.743 0.497 0.124 Ag
0.257 0.503 0.876 Ag
```

Output
As for the crystal system: orthorhombic. As for the formation energy: 1.27 eV per formula unit. The calculated density is 9732 kg/m3. Its magnetization is 1.7 μB per formula unit.



Record 2
Computed, not measured: crystalline PtRh4 at its relaxed geometry at the PBE level of DFT.

The structure in POSCAR format:
```
PtRh4
1.0
-2.605 -0.195 0.814
-0.552 -2.910 -2.465
3.431 -2.917 5.687
Pt Rh
1 4
Direct
0.000 0.000 0.000 Pt
0.799 0.799 0.598 Rh
0.398 0.398 0.795 Rh
0.602 0.602 0.205 Rh
0.201 0.201 0.402 Rh
```

Output
As for the crystal system: orthorhombic. As for the formation energy: -0.08 eV per formula unit. The calculated density is 13936 kg/m3. Its magnetization is 0.0 μB per formula unit.